*w*
Below is a geometry-optimized SiAs3W structure, with properties calculated at the GGA-PBE level.

Results
- Calculated volume: 117 Å³/cell

a = 4.8966 Å, b = 4.8966 Å, c = 4.8966 Å
α = 90.00°, β = 90.00°, γ = 90.00°
Last column: nearest neighbours and their distance in Å.
Space group Pm-3m (No. 221)
Inequivalent atoms, fractional coordinates:
Si 0.0000 0.0000 0.0000 x1  12 As 3.46
As 0.0000 0.5000 0.5000 x3  2 W 2.45
W 0.5000 0.5000 0.5000 x1  6 As 2.45

---

*x*
Below is a geometry-optimized SiAs3W structure, with properties calculated at the GGA-PBE level.

Results
- Calculated volume: 99 Å³/cell

a = 4.6210 Å, b = 4.6210 Å, c = 4.6210 Å
α = 90.00°, β = 90.00°, γ = 90.00°
Last column: nearest neighbours and their distance in Å.
Space group Pm-3m (No. 221)
Inequivalent atoms, fractional coordinates:
Si 0.0000 0.0000 0.0000 x1  6 As 2.31
As 0.0000 0.0000 0.5000 x3  2 Si 2.31
W 0.5000 0.5000 0.5000 x1  12 As 3.27

---

Energy above the most stable structure, in meV per atom: *w* 0; *x* 519

---

*w*
Below is a geometry-optimized Y2SiAs structure, with properties calculated at the GGA-PBE level.

Results
- Calculated volume: 185 Å³/cell

a = 4.4370 Å, b = 5.5103 Å, c = 7.5751 Å
α = 90.00°, β = 90.00°, γ = 90.00°
Last column: nearest neighbours and their distance in Å.
Space group Cmmm (No. 65)
Inequivalent atoms, fractional coordinates:
Y 0.0000 0.0000 0.2472 x4  2 As 2.90, 2 Si 2.93
Si 0.0000 0.5000 0.5000 x2  4 Y 2.93
As 0.0000 0.5000 0.0000 x2  4 Y 2.90

---

*x*
Below is a geometry-optimized Y2SiAs structure, with properties calculated at the GGA-PBE level.

Results
- Calculated volume: 310 Å³/cell

a = 4.2627 Å, b = 4.2627 Å, c = 19.6733 Å
α = 90.00°, β = 90.00°, γ = 120.00°
Last column: nearest neighbours and their distance in Å.
Space group R3m (No. 160, hexagonal axes)
Inequivalent atoms, fractional coordinates:
Y 0.0000 0.0000 0.0000 x3  3 Si 3.02, 3 As 3.05
Y 0.0000 0.0000 0.1813 x3  3 As 3.03, 3 Si 3.06
Si 0.0000 0.0000 0.4224 x3  3 As 2.46
As 0.0000 0.0000 0.7580 x3  3 Si 2.46

---

*y*
Below is a geometry-optimized Y2SiAs structure, with properties calculated at the GGA-PBE level.

Results
- Calculated volume: 397 Å³/cell

a = 7.5958 Å, b = 7.5958 Å, c = 6.8834 Å
α = 90.00°, β = 90.00°, γ = 90.00°
Last column: nearest neighbours and their distance in Å.
Space group I-42d (No. 122)
Inequivalent atoms, fractional coordinates:
Y 0.2486 0.2500 0.1250 x8  2 As 2.81, 2 Si 2.83
Si 0.0000 0.0000 0.5000 x4  4 Y 2.83
As 0.0000 0.0000 0.0000 x4  4 Y 2.81

---

Energy above the most stable structure, in meV per atom: *w* 0; *x* 372; *y* 85

---

*w*
Below is a geometry-optimized Y2SiAs structure, with properties calculated at the GGA-PBE level.

Results
- Calculated volume: 365 Å³/cell

a = 7.1437 Å, b = 7.1437 Å, c = 7.1437 Å
α = 90.00°, β = 90.00°, γ = 90.00°
Last column: nearest neighbours and their distance in Å.
Space group Fm-3m (No. 225)
Inequivalent atoms, fractional coordinates:
Y 0.2500 0.2500 0.2500 x8  4 As 3.09, 4 Si 3.09
Si 0.0000 0.0000 0.0000 x4  8 Y 3.09
As 0.0000 0.0000 0.5000 x4  8 Y 3.09

---

*x*
Below is a geometry-optimized Y2SiAs structure, with properties calculated at the GGA-PBE level.

Results
- Calculated volume: 296 Å³/cell

a = 4.0154 Å, b = 4.0154 Å, c = 21.2137 Å
α = 90.00°, β = 90.00°, γ = 120.00°
Last column: nearest neighbours and their distance in Å.
Space group R-3m (No. 166, hexagonal axes)
Inequivalent atoms, fractional coordinates:
Y 0.0000 0.0000 0.2476 x6  3 As 2.89, 3 Si 2.95
Si 0.0000 0.0000 0.0000 x3  6 Y 2.95
As 0.0000 0.0000 0.5000 x3  6 Y 2.89

---

*y*
Below is a geometry-optimized Y2SiAs structure, with properties calculated at the GGA-PBE level.

Results
- Calculated volume: 181 Å³/cell

a = 4.1367 Å, b = 4.1367 Å, c = 10.5651 Å
α = 90.00°, β = 90.00°, γ = 90.00°
Last column: nearest neighbours and their distance in Å.
Space group I-4m2 (No. 119)
Inequivalent atoms, fractional coordinates:
Y 0.0000 0.0000 0.0000 x2  4 As 2.93
Y 0.0000 0.5000 0.2500 x2  4 Si 2.93
Si 0.0000 0.5000 0.7500 x2  4 Y 2.93
As 0.0000 0.0000 0.5000 x2  4 Y 2.93

---

Energy above the most stable structure, in meV per atom: *w* 334; *x* 0; *y* 222

---

*w*
Below is a geometry-optimized Y2SiAs structure, with properties calculated at the GGA-PBE level.

Results
- Calculated volume: 181 Å³/cell

a = 10.7426 Å, b = 4.0656 Å, c = 4.1503 Å
α = 90.00°, β = 94.94°, γ = 90.00°
Last column: nearest neighbours and their distance in Å.
Space group Cm (No. 8)
Inequivalent atoms, fractional coordinates:
Y 0.0000 0.0000 0.0000 x2  3 Si 2.88-3.22, 4 As 2.91-2.98
Y 0.2304 0.5000 0.5175 x2  4 Si 2.92-2.95, 3 As 2.94-3.17
Si 0.2689 0.0000 0.0320 x2  1 As 2.61, 3 Y 2.88-2.92
As 0.4556 0.0000 0.4794 x2  1 Si 2.61, 2 Y 2.91

---

*x*
Below is a geometry-optimized Y2SiAs structure, with properties calculated at the GGA-PBE level.

Results
- Calculated volume: 93 Å³/cell

a = 3.5539 Å, b = 3.7362 Å, c = 7.1982 Å
α = 90.00°, β = 103.09°, γ = 90.00°
Last column: nearest neighbours and their distance in Å.
Space group P2/m (No. 10)
Inequivalent atoms, fractional coordinates:
Y 0.0149 0.0000 0.2510 x2  2 As 2.88, 2 Si 2.93
Si 0.5000 0.5000 0.0000 x1  4 Y 2.93
As 0.5000 0.5000 0.5000 x1  4 Y 2.88

---

Energy above the most stable structure, in meV per atom: *w* 0; *x* 202

---

*w*
Below is a geometry-optimized Y2SiAs structure, with properties calculated at the GGA-PBE level.

Results
- Calculated volume: 355 Å³/cell

a = 7.0828 Å, b = 7.0828 Å, c = 7.0828 Å
α = 90.00°, β = 90.00°, γ = 90.00°
Last column: nearest neighbours and their distance in Å.
Space group F-43m (No. 216)
Inequivalent atoms, fractional coordinates:
Y 0.0000 0.0000 0.0000 x4  4 Si 3.07, 4 Y 3.07
Y 0.2500 0.2500 0.2500 x4  4 As 3.07, 4 Y 3.07
Si 0.2500 0.2500 0.7500 x4  4 As 3.07, 4 Y 3.07
As 0.0000 0.0000 0.5000 x4  4 Si 3.07, 4 Y 3.07

---

*x*
Below is a geometry-optimized Y2SiAs structure, with properties calculated at the GGA-PBE level.

Results
- Calculated volume: 99 Å³/cell

a = 4.1266 Å, b = 4.1266 Å, c = 5.8160 Å
α = 90.00°, β = 90.00°, γ = 90.00°
Last column: nearest neighbours and their distance in Å.
Space group P4/mmm (No. 123)
Inequivalent atoms, fractional coordinates:
Y 0.0000 0.0000 0.0000 x1  2 Si 2.91, 4 As 2.92
Y 0.5000 0.5000 0.5000 x1  2 As 2.91, 4 Si 2.92
Si 0.0000 0.0000 0.5000 x1  6 Y 2.91-2.92
As 0.5000 0.5000 0.0000 x1  6 Y 2.91-2.92

---

*y*
Below is a geometry-optimized Y2SiAs structure, with properties calculated at the GGA-PBE level.

Results
- Calculated volume: 376 Å³/cell

a = 4.2260 Å, b = 22.4899 Å, c = 3.9546 Å
α = 90.00°, β = 90.00°, γ = 90.00°
Last column: nearest neighbours and their distance in Å.
Space group Cmcm (No. 63)
Inequivalent atoms, fractional coordinates:
Y 0.0000 0.0644 0.2500 x4  1 As 2.78, 6 Si 2.96-3.10
Y 0.0000 0.3156 0.2500 x4  5 As 2.87-2.90
Si 0.0000 0.4633 0.2500 x4  2 Si 2.58
As 0.0000 0.1881 0.2500 x4  6 Y 2.78-2.90

---

Energy above the most stable structure, in meV per atom: *w* 1116; *x* 171; *y* 0